# 1
# SbOsAu2 (SCAN, PBEsol geometry)
# Volume in Å³/atom: 17.390
# Raw formation energy in eV per formula unit: 2.38
# M_tot in μB/atom: 0.00
data_SbOsAu2
_chemical_formula_sum 'Sb1 Os1 Au2'
_symmetry_space_group_name_H-M 'P m m m'
_symmetry_Int_Tables_number 47
_symmetry_space_group_name_Hall '-P 2 2'
_cell_length_a 3.0655
_cell_length_b 4.5347
_cell_length_c 5.0040
_cell_angle_alpha 90.00
_cell_angle_beta 90.00
_cell_angle_gamma 90.00
loop_
_atom_site_label
_atom_site_type_symbol
_atom_site_fract_x
_atom_site_fract_y
_atom_site_fract_z
Sb1 Sb 0.0000 0.0000 0.0000
Os1 Os 0.5000 0.5000 0.0000
Au1 Au 0.0000 0.5000 0.5000
Au2 Au 0.5000 0.0000 0.5000

***

# 2
# SbOsAu (SCAN, PBEsol geometry)
# Volume in Å³/atom: 18.156
# Raw formation energy in eV per formula unit: 1.97
# M_tot in μB/atom: 0.00
# Polymorph energy (0 for the lowest one) in meV per atom: 0
data_SbOsAu
_chemical_formula_sum 'Sb1 Os1 Au1'
_symmetry_space_group_name_H-M 'P -6 m 2'
_symmetry_Int_Tables_number 187
_symmetry_space_group_name_Hall 'P -6 2'
_cell_length_a 4.3921
_cell_length_b 4.3921
_cell_length_c 3.2603
_cell_angle_alpha 90.00
_cell_angle_beta 90.00
_cell_angle_gamma 120.00
loop_
_atom_site_label
_atom_site_type_symbol
_atom_site_fract_x
_atom_site_fract_y
_atom_site_fract_z
Sb1 Sb 0.0000 0.0000 0.0000
Os1 Os 0.6667 0.3333 0.0000
Au1 Au 0.3333 0.6667 0.5000